LaTbCdCo: relaxed, GGA-PBE.

The structure in POSCAR format:
```
LaTbCdCo
1.0
5.185 0.000 0.000
2.592 4.490 0.000
2.592 1.497 4.233
Cd Tb La Co
1 1 1 1
direct
0.500 0.500 0.500
0.750 0.750 0.750
0.250 0.250 0.250
0.000 0.000 0.000
```

Output
crystal system: cubic
E_tot: -4.46 eV per atom

---

La2CdCoTe: relaxed, GGA-PBE.

The structure in POSCAR format:
```
La2CdCoTe
1.0
5.226 0.000 0.000
0.000 5.226 0.000
0.000 0.000 5.016
Cd Co La Te
1 1 2 1
direct
0.000 0.000 0.500
0.000 0.000 0.000
0.000 0.500 0.000
0.500 0.000 0.000
0.500 0.500 0.500
```

Output
crystal system: tetragonal
E_tot: -4.86 eV per atom
E_form (uncorrected): -317 kJ/mol of formula units

---

LaTl2CdCo: relaxed, GGA-PBE.

The structure in POSCAR format:
```
LaTl2CdCo
1.0
5.361 0.000 0.000
0.000 6.084 0.000
0.000 0.000 5.361
Co Tl Cd La
1 2 1 1
direct
0.500 0.500 0.500
0.000 0.000 0.500
0.500 0.000 0.000
0.000 0.000 0.000
0.000 0.500 0.000
```

Output
E above lowest polymorph: 1064 meV/atom
crystal system: tetragonal
E_tot: -2.62 eV per atom

---

LaTl2CdCo: relaxed, GGA-PBE.

The structure in POSCAR format:
```
LaTl2CdCo
1.0
-0.743 1.968 -4.714
-4.902 -1.612 0.099
-1.387 4.343 2.032
Co Tl La Cd
1 2 1 1
direct
0.000 0.000 0.000
0.500 0.000 0.000
0.000 0.500 0.000
0.000 0.000 0.500
0.500 0.500 0.500
```

Output
E above lowest polymorph: 0 meV/atom
crystal system: tetragonal
E_tot: -3.68 eV per atom

---

LaYCdCo: relaxed, GGA-PBE.

The structure in POSCAR format:
```
LaYCdCo
1.0
-1.428 4.918 -0.796
-4.855 1.086 -1.451
-3.235 2.327 3.313
Y Co La Cd
1 1 1 1
direct
0.750 0.750 0.750
0.000 0.000 0.000
0.250 0.250 0.250
0.500 0.500 0.500
```

Output
crystal system: cubic
E_tot: -4.93 eV per atom

---

La6ZnCd2Co: relaxed, GGA-PBE.

The structure in POSCAR format:
```
La6ZnCd2Co
1.0
-1.857 -5.691 -6.688
5.980 1.191 -2.684
-2.612 -1.906 8.385
Cd La Zn Co
2 6 1 1
direct
0.706 0.119 0.412
0.265 0.795 0.529
0.776 0.271 0.898
0.650 0.728 0.845
0.883 0.727 0.531
0.195 0.727 0.077
0.372 0.272 0.149
0.123 0.274 0.497
0.489 0.468 0.979
0.040 0.123 0.082
```

Output
crystal system: triclinic
E_tot: -4.13 eV per atom

---

LaZn2CdCo: relaxed, GGA-PBE.

The structure in POSCAR format:
```
LaZn2CdCo
1.0
-4.669 -0.910 -0.793
1.161 -2.510 -3.951
0.337 -4.064 2.680
Co Zn La Cd
1 2 1 1
direct
0.000 0.000 0.000
0.000 0.500 0.000
0.500 0.000 0.000
0.000 0.000 0.500
0.500 0.500 0.500
```

Output
E above lowest polymorph: 0 meV/atom
crystal system: tetragonal
E_tot: -3.18 eV per atom

---

LaZn2CdCo: relaxed, GGA-PBE.

The structure in POSCAR format:
```
LaZn2CdCo
1.0
4.673 0.000 0.000
0.000 4.673 0.000
0.000 0.000 4.904
Zn La Co Cd
2 1 1 1
direct
0.000 0.500 0.000
0.500 0.000 0.000
0.500 0.500 0.500
0.000 0.000 0.000
0.000 0.000 0.500
```

Output
E above lowest polymorph: 2 meV/atom
crystal system: tetragonal
E_tot: -3.18 eV per atom

---

LaZr2CdCo: relaxed, GGA-PBE.

The structure in POSCAR format:
```
LaZr2CdCo
1.0
-4.956 1.878 0.630
-0.751 -3.159 3.505
1.795 3.536 3.572
Zr Co Cd La
2 1 1 1
direct
0.000 0.000 0.500
0.500 0.000 0.000
0.000 0.500 0.000
0.000 0.000 0.000
0.500 0.500 0.500
```

Output
crystal system: tetragonal
E_tot: -5.04 eV per atom

---

LiCd2Co: relaxed, GGA-PBE.

The structure in POSCAR format:
```
LiCd2Co
1.0
5.468 0.024 0.029
2.679 4.767 -0.029
-3.549 -3.287 2.549
Cd Co Li
2 1 1
direct
0.733 0.233 0.500
0.002 0.002 0.000
0.497 0.497 0.000
0.267 0.767 0.500
```

Output
crystal system: orthorhombic
E_tot: -2.59 eV per atom

---

LiCdCo2: relaxed, GGA-PBE.

The structure in POSCAR format:
```
LiCdCo2
1.0
-4.072 1.369 -7.995
-3.329 -1.220 -8.356
-5.653 -0.640 -7.072
Li Co Cd
1 2 1
direct
0.508 0.508 0.508
0.255 0.255 0.255
0.990 0.990 0.990
0.747 0.747 0.747
```

Output
crystal system: trigonal
E_tot: -4.05 eV per atom

---

LiCd2Co: relaxed, GGA-PBE.

The structure in POSCAR format:
```
LiCd2Co
1.0
3.154 0.000 0.000
0.000 3.139 -0.004
0.000 3.147 6.631
Li Co Cd
1 1 2
direct
0.500 0.750 0.750
0.500 0.250 0.250
0.000 0.987 0.013
0.000 0.513 0.487
```

Output
crystal system: orthorhombic
E_tot: -2.64 eV per atom